Run a
The following is a DFT calculation (GGA-PBE) of an optimized crystal structure of Th2InNi.

The structure belongs to space group P4/mmm (No. 123); the cell edges are 3.3937, 3.3937 and 8.6201 Å and the angles 90.00°, 90.00° and 90.00°. The asymmetric unit holds Th at (0.0000, 0.0000, 0.2103), In at (0.5000, 0.5000, 0.5000) and Ni at (0.5000, 0.5000, 0.0000).

=====

Run b
The following is a DFT calculation (GGA-PBE) of an optimized crystal structure of Th2InNi.

The structure belongs to space group R-3m (No. 166, hexagonal axes); the cell edges are 3.6437, 3.6437 and 31.1450 Å and the angles 90.00°, 90.00° and 120.00°. The asymmetric unit holds Th at (0.0000, 0.0000, 0.1084), In at (0.0000, 0.0000, 0.0000) and Ni at (0.0000, 0.0000, 0.5000).

=====

Order from most stable to least stable according to the calculation: run a, run b

=====

Run a
The following is a DFT calculation (GGA-PBE) of an optimized crystal structure of Ti3InNi.

The structure belongs to space group Pm-3m (No. 221); the cell edges are 4.5683, 4.5683 and 4.5683 Å and the angles 90.00°, 90.00° and 90.00°. The asymmetric unit holds Ti at (0.0000, 0.0000, 0.5000), In at (0.5000, 0.5000, 0.5000) and Ni at (0.0000, 0.0000, 0.0000).

=====

Run b
The following is a DFT calculation (GGA-PBE) of an optimized crystal structure of Ti3InNi.

The structure belongs to space group C2/m (No. 12); the cell edges are 9.9560, 3.7035 and 9.4903 Å and the angles 90.00°, 102.13° and 90.00°. The asymmetric unit holds Ti at (0.0554, 0.0000, 0.3812), Ti at (0.1452, 0.0000, 0.9355), Ti at (0.1766, 0.5000, 0.7048), In at (0.0892, 0.5000, 0.1540) and Ni at (0.2371, 0.5000, 0.4184).

=====

Run c
The following is a DFT calculation (GGA-PBE) of an optimized crystal structure of Ti3InNi.

The structure belongs to space group Pm-3m (No. 221); the cell edges are 4.9596, 4.9596 and 4.9596 Å and the angles 90.00°, 90.00° and 90.00°. The asymmetric unit holds Ti at (0.0000, 0.0000, 0.5000), In at (0.0000, 0.0000, 0.0000) and Ni at (0.5000, 0.5000, 0.5000).

=====

Order from most stable to least stable according to the calculation: run b, run a, run c